[1]
A geometry-optimized NdTlIr structure, computed with GGA-PBE.

Geometry as extended XYZ:
```
3
Lattice="4.816 0.000 0.000 2.408 4.171 0.000 2.408 1.390 3.932" Properties=species:S:1:pos:R:3 pbc="T T T"
Nd 4.816 2.781 1.966
Ir 2.408 1.390 0.983
Tl 0.000 0.000 0.000
```

- space-group type = F-43m
- total magnetization (μB per formula unit) = 0.0
- ΔE_f (meV/atom) = -311
- final energy (Ha/atom) = -0.2074

[2]
A geometry-optimized Nd4TlIr structure, computed with GGA-PBE.

Geometry as extended XYZ:
```
12
Lattice="6.199 -0.717 0.000 -2.493 8.884 0.000 -1.853 -4.083 6.823" Properties=species:S:1:pos:R:3 pbc="T T T"
Nd 1.771 3.139 4.448
Nd -1.165 5.386 4.448
Nd 3.351 5.798 1.047
Tl 0.303 4.263 1.668
Nd -1.498 -1.715 5.776
Nd 3.455 2.010 1.047
Nd 3.018 -1.302 2.375
Nd 0.082 0.944 2.375
Ir 1.550 -0.179 0.021
Nd -1.601 2.073 5.776
Ir 0.303 4.263 6.802
Tl 1.550 -0.179 5.155
```

- space-group type = C2/c
- total magnetization (μB per formula unit) = 0.0
- energy above the most stable polymorph in this dataset (meV/atom) = 60
- ΔE_f (meV/atom) = -394
- final energy (Ha/atom) = -0.2001

[3]
A geometry-optimized Nd4TlIr structure, computed with GGA-PBE.

Geometry as extended XYZ:
```
24
Lattice="8.667 0.000 5.004 2.889 8.171 5.004 0.000 0.000 10.008" Properties=species:S:1:pos:R:3 pbc="T T T"
Tl 4.845 1.351 5.004
Nd 6.461 4.569 15.011
Nd 8.057 3.280 10.008
Nd 7.557 1.569 13.090
Nd 10.872 7.688 15.011
Nd 2.219 1.569 10.008
Nd 5.778 6.503 10.008
Ir 7.030 4.971 7.838
Nd 7.564 7.688 16.921
Nd 7.564 7.688 13.101
Nd 3.998 6.602 6.925
Nd 4.638 3.280 8.034
Tl 1.911 1.351 6.698
Ir 5.778 1.429 10.008
Nd 9.337 6.602 10.008
Nd 9.770 4.569 13.101
Ir 3.273 4.971 10.008
Nd 9.770 4.569 16.921
Tl 1.911 1.351 3.310
Tl 2.889 4.117 5.004
Ir 7.030 4.971 12.177
Nd 4.638 3.280 11.981
Nd 7.557 1.569 6.925
Nd 3.998 6.602 13.090
```

- space-group type = F-43m
- total magnetization (μB per formula unit) = 0.0
- energy above the most stable polymorph in this dataset (meV/atom) = 0
- ΔE_f (meV/atom) = -454
- final energy (Ha/atom) = -0.2023

[4]
A geometry-optimized Nd4Tl5Ir2 structure, computed with GGA-PBE.

Geometry as extended XYZ:
```
11
Lattice="3.835 0.000 0.000 0.000 8.081 0.083 0.000 -0.677 9.763" Properties=species:S:1:pos:R:3 pbc="T T T"
Tl 0.000 4.041 0.042
Nd 1.918 0.943 8.208
Tl 0.000 4.186 3.331
Nd 1.918 5.984 5.617
Tl 0.000 6.265 8.500
Tl 0.000 1.139 1.346
Nd 1.918 6.461 1.638
Ir 0.000 7.211 3.654
Tl 0.000 3.218 6.516
Ir 0.000 0.194 6.192
Nd 1.918 1.420 4.230
```

- space-group type = P2/m
- total magnetization (μB per formula unit) = 0.0
- ΔE_f (meV/atom) = -431
- final energy (Ha/atom) = -0.1783

[5]
A geometry-optimized Nd8Tl2Ir3 structure, computed with GGA-PBE.

Geometry as extended XYZ:
```
13
Lattice="-6.495 -2.453 -1.494 2.349 -7.236 1.671 -0.799 5.604 7.237" Properties=species:S:1:pos:R:3 pbc="T T T"
Nd -5.069 -5.451 1.675
Tl -2.911 -4.232 3.922
Nd -1.927 -2.457 1.395
Ir 0.708 -2.182 0.504
Nd 0.124 1.365 5.739
Nd 0.929 -2.202 7.314
Nd -5.875 -1.884 0.100
Tl -2.034 0.146 3.492
Nd -0.785 -5.975 2.208
Nd -4.160 1.890 5.206
Ir 1.640 -5.054 1.167
Nd -3.018 -1.628 6.019
Ir -3.248 -1.227 -0.747
```

- space-group type = C2/m
- total magnetization (μB per formula unit) = 0.0
- energy above the most stable polymorph in this dataset (meV/atom) = 13
- ΔE_f (meV/atom) = -370
- final energy (Ha/atom) = -0.2099

[6]
A geometry-optimized Nd5Tl2Ir2 structure, computed with GGA-PBE.

Geometry as extended XYZ:
```
18
Lattice="-7.359 1.337 -3.582 -0.486 -7.328 -1.736 -3.521 2.210 8.059" Properties=species:S:1:pos:R:3 pbc="T T T"
Nd -2.334 -2.564 0.476
Nd -7.275 -4.109 -2.423
Tl -2.371 -4.486 3.196
Ir -2.808 -0.450 -1.561
Tl -5.559 -3.628 0.467
Nd 0.000 0.000 0.000
Ir -6.604 -1.548 -3.771
Ir -1.240 -4.443 -1.548
Nd -7.687 2.247 3.669
Nd -3.922 -2.996 -2.659
Tl -5.807 -0.153 2.273
Nd -5.931 -0.645 -1.019
Nd -4.091 0.328 5.163
Nd -3.679 -6.028 -0.928
Nd -5.435 -3.136 3.759
Tl -1.637 -0.632 3.127
Nd -9.032 -1.218 2.264
Ir -5.037 -5.541 -3.757
```

- space-group type = Cmce
- total magnetization (μB per formula unit) = 0.0
- ΔE_f (meV/atom) = -492
- final energy (Ha/atom) = -0.2071

[7]
A geometry-optimized NdTmTlIr structure, computed with GGA-PBE.

Geometry as extended XYZ:
```
4
Lattice="5.154 0.000 0.000 2.577 4.463 0.000 2.577 1.488 4.208" Properties=species:S:1:pos:R:3 pbc="T T T"
Tm 2.577 1.488 1.052
Tl 5.154 2.975 2.104
Nd 7.730 4.463 3.156
Ir 0.000 0.000 0.000
```

- space-group type = F-43m
- total magnetization (μB per formula unit) = 0.0
- ΔE_f (meV/atom) = -419
- final energy (Ha/atom) = -0.2034

[8]
A geometry-optimized NdYTlIr structure, computed with GGA-PBE.

Geometry as extended XYZ:
```
4
Lattice="-2.535 -4.518 -0.288 2.546 -4.323 -1.324 0.865 -3.690 3.544" Properties=species:S:1:pos:R:3 pbc="T T T"
Nd 0.219 -3.133 0.483
Ir 0.000 0.000 0.000
Y 0.656 -9.399 1.449
Tl 0.438 -6.266 0.966
```

- space-group type = F-43m
- total magnetization (μB per formula unit) = 0.0
- ΔE_f (meV/atom) = -413
- final energy (Ha/atom) = -0.2215